No. 1
! TaNb2Pt (PBE, optimized geometry); values from VASP
! energy of formation: -0.407 eV per atom
! VASP energy: -39.72 eV per formula unit
&SYSTEM
  ibrav = 0, nat = 8, ntyp = 3
/
ATOMIC_SPECIES
Nb 92.91 Nb.upf
Pt 195.08 Pt.upf
Ta 180.95 Ta.upf
CELL_PARAMETERS angstrom
5.172 0.000 0.000
0.000 3.679 3.677
0.000 -3.679 3.677
ATOMIC_POSITIONS crystal
Nb 0.750 0.249 0.003
Nb 0.250 0.003 0.249
Nb 0.000 0.497 0.497
Nb 0.500 0.497 0.497
Pt 0.750 0.994 0.506
Pt 0.250 0.506 0.994
Ta 0.750 0.751 0.002
Ta 0.250 0.002 0.751



No. 2
! SrScNb (PBE, optimized geometry); values from VASP
! VASP energy: -14.48 eV per formula unit
&SYSTEM
  ibrav = 0, nat = 3, ntyp = 3
/
ATOMIC_SPECIES
Nb 92.91 Nb.upf
Sc 44.96 Sc.upf
Sr 87.62 Sr.upf
CELL_PARAMETERS angstrom
0.000 3.665 3.665
3.665 0.000 3.665
3.665 3.665 0.000
ATOMIC_POSITIONS crystal
Nb 0.000 0.000 0.000
Sc 0.250 0.250 0.250
Sr 0.750 0.750 0.750